Record 1
The following is a DFT calculation (PBE-GGA) of a relaxed Na2Ti2N3 crystal.

extended XYZ file:
```
7
Lattice="-1.141 -3.049 -1.540 -0.811 2.730 -4.805 5.905 -1.274 2.359" Properties=species:S:1:pos:R:3 pbc="T T T"
Na 3.708 -0.519 -1.721
Na 0.245 -1.075 -2.265
Ti 0.825 1.623 -3.825
Ti 3.127 -3.216 -0.161
N -0.405 1.365 -2.402
N 1.354 -2.358 -0.547
N 2.598 0.764 -3.439
```

Properties
Space group   C2/m



Record 2
The following is a DFT calculation (PBE-GGA) of a relaxed NaTiN2 crystal.

extended XYZ file:
```
8
Lattice="5.259 0.000 0.000 0.000 5.259 0.000 2.629 2.629 4.534" Properties=species:S:1:pos:R:3 pbc="T T T"
Na 2.629 2.629 0.000
Na 2.629 5.259 2.267
N 4.457 1.315 1.133
N 0.802 3.944 1.133
N 3.944 3.431 3.400
N 6.573 7.087 3.400
Ti 0.000 0.000 0.000
Ti 5.259 2.629 2.267
```

Properties
Space group   I-42d



Record 3
The following is a DFT calculation (PBE-GGA) of a relaxed NaTiN crystal.

extended XYZ file:
```
6
Lattice="3.150 0.094 -0.286 1.450 2.735 -0.644 -0.533 -1.255 11.627" Properties=species:S:1:pos:R:3 pbc="T T T"
Na 3.437 1.726 3.391
Na 0.630 -0.152 7.305
N 1.749 0.443 1.907
N 2.318 1.131 8.789
Ti 1.603 2.094 0.832
Ti 2.464 -0.520 9.865
```

Properties
Space group   P-1



Record 4
The following is a DFT calculation (PBE-GGA) of a relaxed Na2TiN crystal.

extended XYZ file:
```
8
Lattice="9.853 0.000 0.000 0.000 9.853 0.000 4.927 4.927 1.953" Properties=species:S:1:pos:R:3 pbc="T T T"
Na 5.835 2.463 0.488
Na 4.018 7.390 0.488
Na 7.390 8.944 1.464
Na 12.316 10.762 1.464
N 4.927 4.927 0.000
N 4.927 9.853 0.976
Ti 0.000 0.000 0.000
Ti 9.853 4.927 0.976
```

Properties
Space group   I-42d



Record 5
The following is a DFT calculation (PBE-GGA) of a relaxed NaTiN2 crystal.

extended XYZ file:
```
4
Lattice="0.460 -2.150 3.100 -2.520 -2.727 0.813 0.977 -3.657 -0.351" Properties=species:S:1:pos:R:3 pbc="T T T"
Na 0.000 0.000 0.000
N -0.271 -2.133 0.891
N -0.812 -6.400 2.672
Ti -0.542 -4.267 1.781
```

Properties
Space group   Fm-3m



Record 6
The following is a DFT calculation (PBE-GGA) of a relaxed NaTiN3 crystal.

extended XYZ file:
```
5
Lattice="-0.784 1.286 -3.554 2.656 -2.394 -1.452 -2.688 -2.741 -0.398" Properties=species:S:1:pos:R:3 pbc="T T T"
Na 0.000 0.000 0.000
N 1.328 -1.197 -0.726
N -1.344 -1.370 -0.199
N -0.392 0.643 -1.777
Ti -0.408 -1.925 -2.702
```

Properties
Space group   Pm-3m



Record 7
The following is a DFT calculation (PBE-GGA) of a relaxed NaTl2N8 crystal.

extended XYZ file:
```
11
Lattice="6.598 -0.423 1.221 0.000 6.384 2.213 0.971 1.452 6.126" Properties=species:S:1:pos:R:3 pbc="T T T"
Na 0.000 0.000 0.000
Tl 3.523 2.422 3.327
Tl 4.046 4.990 6.233
N 6.936 3.866 4.989
N 6.937 0.260 3.739
N 0.633 3.547 4.571
N 1.519 4.698 7.077
N 0.633 7.153 5.821
N 3.763 1.323 6.497
N 3.806 6.089 3.063
N 6.050 2.715 2.483
```

Properties
Space group   C2/m



Record 8
The following is a DFT calculation (PBE-GGA) of a relaxed NaTlN crystal.

extended XYZ file:
```
6
Lattice="3.374 -0.415 -0.820 -0.552 15.041 -3.264 -0.311 -12.461 5.528" Properties=species:S:1:pos:R:3 pbc="T T T"
Na -0.185 -8.378 3.716
Na 2.696 10.543 -2.272
Tl 1.535 -11.088 4.657
Tl 0.975 13.253 -3.213
N 0.914 8.981 -1.358
N 1.596 -6.816 2.803
```

Properties
Energy above the lowest structure with this stoichiometry   0.0 meV per atom
Space group   P-1



Number 1: density of states at the Fermi level 1.332 states/eV per cell, final energy -7.12 eV per atom. Number 2: density of states at the Fermi level 2.853 states/eV per cell, final energy -7.01 eV per atom. Number 3: density of states at the Fermi level 2.368 states/eV per cell, final energy -6.61 eV per atom. Number 4: density of states at the Fermi level 3.104 states/eV per cell, final energy -4.66 eV per atom. Number 5: density of states at the Fermi level 2.382 states/eV per cell, final energy -6.29 eV per atom. Number 6: density of states at the Fermi level 4.518 states/eV per cell, final energy -4.65 eV per atom. Number 7: density of states at the Fermi level 4.697 states/eV per cell, final energy -6.45 eV per atom. Number 8: density of states at the Fermi level 1.969 states/eV per cell, final energy -4.07 eV per atom.